No. 1
# Tb6Nd3SmDy2

Tb6Nd3SmDy2 after structural relaxation (GGA-PBE, the Alexandria database).

The structure in POSCAR format:
```
Tb6Nd3SmDy2
1.0
-5.185 -2.490 2.384
5.339 -0.279 3.193
-2.591 11.131 3.287
Tb Nd Dy Sm
6 3 2 1
Cartesian
-0.525 0.676 4.990
1.154 2.429 2.340
-0.079 6.670 6.795
-2.358 1.691 2.070
-3.591 5.932 6.525
-1.912 7.685 3.875
-1.219 4.181 4.432
2.288 4.917 4.701
-4.725 3.444 4.163
1.831 -1.016 2.923
-1.678 -1.753 2.654
0.000 0.000 0.000
```

Computed properties:
crystal system	monoclinic
raw total energy	-55.8	eV for the cell shown
D(E_F)	1.281	states/eV per atom

No. 2
# BeCrSb2

BeCrSb2 after structural relaxation (GGA-PBE, the Alexandria database).

The structure in POSCAR format:
```
BeCrSb2
1.0
-4.031 3.381 4.940
-5.975 -1.914 -3.566
-5.160 -1.915 2.372
Sb Be Cr
4 2 2
Cartesian
-12.385 -0.075 3.125
-7.863 -0.963 2.150
-5.691 -1.116 -0.819
-4.394 1.259 3.036
-5.003 0.734 0.687
-8.069 -1.547 -0.254
0.000 0.000 0.000
-7.097 1.100 3.999
```

Computed properties:
crystal system	tetragonal
raw total energy	-39.8	eV for the cell shown
D(E_F)	0.484	states/eV per atom

No. 3
# TaAgPb2

TaAgPb2 after structural relaxation (GGA-PBE, the Alexandria database).

The structure in POSCAR format:
```
TaAgPb2
1.0
-5.130 10.121 -1.472
-6.258 8.680 -4.050
-7.733 8.336 -1.275
Ag Pb Ta
1 2 1
Cartesian
-14.493 20.569 -5.151
-4.534 6.434 -1.611
-0.241 0.342 -0.086
-9.414 13.361 -3.346
```

Computed properties:
offset from the most stable computed form	55.5	meV per atom
crystal system	trigonal
D(E_F)	0.806	states/eV per atom

No. 4
# EuGd2Be

EuGd2Be after structural relaxation (GGA-PBE, the Alexandria database).

The structure in POSCAR format:
```
EuGd2Be
1.0
-2.790 1.282 -1.641
-3.080 0.098 1.621
0.543 11.156 4.096
Gd Be Eu
2 1 1
Cartesian
-5.269 3.955 0.967
-0.058 8.582 3.109
0.000 0.000 0.000
-2.664 6.268 2.038
```

Computed properties:
offset from the most stable computed form	653.2	meV per atom
crystal system	trigonal
D(E_F)	1.393	states/eV per atom

Question: Among the records above, which one has the lowest D(E_F)?
Answer: BeCrSb2

Question: The highest D(E_F) belongs to which entry?
Answer: EuGd2Be